An optimized crystal structure of Ta3NiIr3. Source: the Alexandria database, functional GGA-PBE.

Output
- E_form (eV per atom) = -0.257
- E_tot (eV/atom) = -9.96

Cell: 8.317 8.070 6.953 Å, 90.00 90.12 90.00°
Space group C2/m (No. 12)
Symmetry-distinct sites (fractional):
Ta 0.000 0.000 0.241 (multiplicity 4)
Ta 0.245 0.267 0.755 (multiplicity 8)
Ni 0.219 0.500 0.029 (multiplicity 4)
Ir 0.000 0.263 0.000 (multiplicity 4)
Ir 0.000 0.266 0.500 (multiplicity 4)
Ir 0.243 0.500 0.481 (multiplicity 4)